Entry 1:
LiCa2Sn4Au3 after structural relaxation. Source: Alexandria via LeMat-Bulk, functional PBE.

abc: 4.370 4.370 12.674
angles: 90.00 90.00 90.00
Atoms (fractional coordinates):
Li (0.000, 0.000, 0.000)
Ca (0.000, 0.500, 0.749)
Ca (0.500, 0.000, 0.251)
Sn (0.000, 0.000, 0.500)
Sn (0.000, 0.500, 0.135)
Sn (0.500, 0.000, 0.865)
Sn (0.500, 0.500, 0.500)
Au (0.000, 0.500, 0.347)
Au (0.500, 0.000, 0.653)
Au (0.500, 0.500, 0.000)

Output
size of the total moment: 0.000 μB per atom
formation enthalpy at 0 K: -0.4891 eV/atom
calculated total energy: -3.67 eV/atom

Entry 2:
Ti5VN4 after structural relaxation. Source: Alexandria via LeMat-Bulk, functional PBE.

abc: 6.546 6.546 6.057
angles: 104.60 104.60 26.57
Atoms (fractional coordinates):
Ti (0.000, 0.000, 0.000)
Ti (0.331, 0.331, 0.181)
Ti (0.337, 0.337, 0.649)
Ti (0.663, 0.663, 0.351)
Ti (0.669, 0.669, 0.819)
V (0.000, 0.000, 0.500)
N (0.168, 0.168, 0.588)
N (0.495, 0.495, 0.245)
N (0.505, 0.505, 0.755)
N (0.832, 0.832, 0.412)

Output
size of the total moment: 0.000 μB per atom
formation energy (no corrections): -1336 meV/atom
calculated total energy: -9.53 eV/atom